VASP calculation (PBE) on crystalline TaMoAu at its relaxed geometry.

Energy above the lowest structure with this stoichiometry = 0.000 kcal/mol of atoms
D(E_F) = 4.26 states/eV/cell
Uncorrected energy = -0.3202 Ha/atom
Calculated formation energy = -60 meV/atom

Cell: 3.325 3.330 9.328 Å, 90.80 90.01 90.10°
Space group P-1 (No. 2)
Inequivalent atoms, fractional coordinates:
1 Ta 0.250 0.239 0.246 x2
2 Mo 0.249 0.239 0.917 x2
3 Au 0.250 0.254 0.588 x2